(1)
LiCr2Ag | Alexandria | GGA-PBE | optimized geometry; relative energy among the computed polymorphs = 0.426 eV/atom; density of states at the Fermi level = 4.38 states/eV per cell
1.0
1.460 -2.037 0.000
1.460 2.037 0.000
0.000 0.000 9.424
Li Cr Ag
1 2 1
Direct
0.000 0.000 0.000
0.500 0.500 0.246
0.500 0.500 0.754
0.000 0.000 0.500

=====

(2)
Li2CrAg | Alexandria | GGA-PBE | optimized geometry; relative energy among the computed polymorphs = 0.137 eV/atom; density of states at the Fermi level = 3.28 states/eV per cell
1.0
2.614 0.000 0.000
0.000 2.614 0.000
0.000 0.000 8.583
Li Cr Ag
2 1 1
Direct
0.000 0.000 0.249
0.000 0.000 0.751
0.500 0.500 0.000
0.500 0.500 0.500

=====

(3)
LiCr2Ag | Alexandria | GGA-PBE | optimized geometry; relative energy among the computed polymorphs = 0.427 eV/atom; density of states at the Fermi level = 7.50 states/eV per cell
1.0
-1.662 1.662 9.951
1.662 -1.662 9.951
1.662 1.662 -9.951
Li Cr Ag
2 4 2
Direct
0.000 0.000 0.000
0.750 0.250 0.500
0.118 0.625 0.993
0.375 0.368 0.493
0.632 0.125 0.007
0.875 0.882 0.507
0.250 0.750 0.500
0.500 0.500 0.000

=====

Repeat the second record exactly.
Li2CrAg | Alexandria | GGA-PBE | optimized geometry; relative energy among the computed polymorphs = 0.137 eV/atom; density of states at the Fermi level = 3.28 states/eV per cell
1.0
2.614 0.000 0.000
0.000 2.614 0.000
0.000 0.000 8.583
Li Cr Ag
2 1 1
Direct
0.000 0.000 0.249
0.000 0.000 0.751
0.500 0.500 0.000
0.500 0.500 0.500